! MnOF GGA+U optimized geometry; values from VASP
! Crystal system ... monoclinic
! Uncorrected energy ... -161.4 eV for the cell shown
! Volume ... 274.3 Å³ per cell
! Total magnetic moment ... 32.0 μB/cell
! Space group ... P2/c (13)
&SYSTEM
  ibrav = 0, nat = 24, ntyp = 3
/
ATOMIC_SPECIES
Mn 54.94 Mn.upf
O 16.00 O.upf
F 19.00 F.upf
ATOMIC_POSITIONS angstrom
Mn -1.246 0.558 2.335
Mn -3.739 5.185 7.005
Mn -3.649 2.005 9.253
Mn -1.157 3.738 4.584
Mn -1.181 1.145 7.005
Mn 1.311 4.597 2.335
Mn 1.286 2.005 4.756
Mn 3.779 3.738 0.086
O -2.842 0.831 6.003
O -0.349 4.912 1.333
O -2.020 2.374 8.274
O 0.473 3.369 3.604
O -0.343 2.374 5.735
O 2.150 3.369 1.066
O 0.479 0.831 8.006
O 2.971 4.912 3.337
F -0.343 1.978 1.114
F -2.835 3.765 5.784
F 0.523 0.472 3.470
F -1.969 5.270 8.140
F 2.099 0.472 1.200
F -0.393 5.270 5.869
F 2.965 1.978 3.556
F 0.473 3.765 8.225
CELL_PARAMETERS angstrom
5.115 0.000 0.000
0.000 5.743 0.000
-4.985 0.000 9.340